1.
Compound: BiHRh2
Source: Alexandria
Functional: PBE-GGA
Structure: relaxed

Calculated values
**E above lowest polymorph**: 449 meV per atom
**Crystal system**: cubic
**Mass density**: 11.395 g/cm3

Unit cell a=4.409 b=4.409 c=4.409 alpha=60.00 beta=60.00 gamma=60.00
Fractional coordinates of all 4 atoms:
H 0.000 0.000 0.000
Rh 0.250 0.250 0.250
Rh 0.750 0.750 0.750
Bi 0.500 0.500 0.500



2.
Compound: BiHRh3
Source: Alexandria
Functional: PBE-GGA
Structure: relaxed

Calculated values
**E above lowest polymorph**: 169 meV per atom
**Crystal system**: monoclinic
**Mass density**: 11.656 g/cm3

Unit cell a=13.020 b=7.600 c=7.600 alpha=113.66 beta=139.12 gamma=40.88
Fractional coordinates of all 20 atoms:
H 0.312 0.203 0.500
H 0.188 0.000 0.703
H 0.688 0.797 0.500
H 0.812 0.000 0.297
Rh 0.375 0.320 0.378
Rh 0.125 0.878 0.820
Rh 0.625 0.680 0.622
Rh 0.875 0.122 0.180
Rh 0.119 0.244 0.115
Rh 0.381 0.615 0.744
Rh 0.881 0.756 0.885
Rh 0.619 0.385 0.256
Rh 0.559 0.106 0.878
Rh 0.941 0.378 0.606
Rh 0.441 0.894 0.122
Rh 0.059 0.622 0.394
Bi 0.750 0.169 0.669
Bi 0.250 0.831 0.331
Bi 0.750 0.609 0.109
Bi 0.250 0.391 0.891



3.
Compound: BiHRh3
Source: Alexandria
Functional: PBE-GGA
Structure: relaxed

Calculated values
**E above lowest polymorph**: 320 meV per atom
**Crystal system**: orthorhombic
**Mass density**: 11.812 g/cm3

Unit cell a=5.391 b=5.391 c=5.629 alpha=90.00 beta=90.00 gamma=116.92
Fractional coordinates of all 10 atoms:
H 0.144 0.856 0.250
H 0.856 0.144 0.750
Rh 0.532 0.946 0.250
Rh 0.054 0.468 0.250
Rh 0.946 0.532 0.750
Rh 0.468 0.054 0.750
Rh 0.000 0.000 0.000
Rh 0.000 0.000 0.500
Bi 0.560 0.440 0.250
Bi 0.440 0.560 0.750



4.
Compound: Bi2HRh2
Source: Alexandria
Functional: PBE-GGA
Structure: relaxed

Calculated values
**E above lowest polymorph**: 5 meV per atom
**Crystal system**: triclinic
**Mass density**: 11.055 g/cm3

Unit cell a=5.391 b=6.540 c=7.130 alpha=121.56 beta=89.98 gamma=114.25
Fractional coordinates of all 10 atoms:
Bi 0.683 0.366 0.667
Bi 0.317 0.634 0.333
Bi 0.054 0.107 0.775
Bi 0.946 0.893 0.225
H 0.381 0.762 0.880
H 0.619 0.238 0.120
Rh 0.217 0.434 0.601
Rh 0.783 0.566 0.399
Rh 0.494 0.990 0.192
Rh 0.506 0.010 0.808



5.
Compound: Bi4HRh5
Source: Alexandria
Functional: PBE-GGA
Structure: relaxed

Calculated values
**Crystal system**: tetragonal
**Mass density**: 12.307 g/cm3

Unit cell a=4.056 b=7.005 c=7.005 alpha=85.19 beta=73.17 gamma=73.17
Fractional coordinates of all 10 atoms:
Bi 0.793 0.706 0.706
Bi 0.499 0.294 0.706
Bi 0.499 0.706 0.294
Bi 0.205 0.294 0.294
H 0.999 0.000 0.000
Rh 0.158 0.682 0.000
Rh 0.158 0.000 0.682
Rh 0.840 0.000 0.318
Rh 0.840 0.318 0.000
Rh 0.499 0.000 0.000



6.
Compound: Bi2HRh2
Source: Alexandria
Functional: PBE-GGA
Structure: relaxed

Calculated values
**E above lowest polymorph**: 0 meV per atom
**Crystal system**: monoclinic
**Mass density**: 11.441 g/cm3

Unit cell a=5.823 b=7.279 c=9.077 alpha=109.48 beta=90.00 gamma=90.00
Fractional coordinates of all 20 atoms:
Bi 0.734 0.589 0.964
Bi 0.766 0.089 0.964
Bi 0.234 0.911 0.036
Bi 0.266 0.411 0.036
Bi 0.331 0.044 0.656
Bi 0.169 0.544 0.656
Bi 0.831 0.456 0.344
Bi 0.669 0.956 0.344
H 0.703 0.550 0.659
H 0.297 0.450 0.341
H 0.797 0.050 0.659
H 0.203 0.950 0.341
Rh 0.934 0.264 0.761
Rh 0.566 0.764 0.761
Rh 0.434 0.236 0.239
Rh 0.066 0.736 0.239
Rh 0.576 0.331 0.560
Rh 0.924 0.831 0.560
Rh 0.076 0.169 0.440
Rh 0.424 0.669 0.440



7.
Compound: Bi5HRh3
Source: Alexandria
Functional: PBE-GGA
Structure: relaxed

Calculated values
**Crystal system**: monoclinic
**Mass density**: 10.334 g/cm3

Unit cell a=7.996 b=7.996 c=9.159 alpha=59.68 beta=59.68 gamma=72.15
Fractional coordinates of all 18 atoms:
Bi 0.939 0.401 0.419
Bi 0.294 0.706 0.000
Bi 0.852 0.852 0.889
Bi 0.484 0.484 0.310
Bi 0.516 0.516 0.690
Bi 0.148 0.148 0.111
Bi 0.401 0.939 0.419
Bi 0.706 0.294 0.000
Bi 0.061 0.599 0.581
Bi 0.599 0.061 0.581
H 0.141 0.141 0.762
H 0.859 0.859 0.238
Rh 0.696 0.696 0.794
Rh 0.713 0.713 0.263
Rh 0.000 0.000 0.000
Rh 0.000 0.000 0.500
Rh 0.304 0.304 0.206
Rh 0.287 0.287 0.737



8.
Compound: BiHRh3
Source: Alexandria
Functional: PBE-GGA
Structure: relaxed

Calculated values
**E above lowest polymorph**: 82 meV per atom
**Crystal system**: monoclinic
**Mass density**: 12.432 g/cm3

Unit cell a=5.790 b=5.826 c=5.792 alpha=89.99 beta=59.97 gamma=119.76
Fractional coordinates of all 10 atoms:
H 0.841 0.799 0.180
H 0.068 0.143 0.066
Rh 0.957 0.716 0.379
Rh 0.954 0.227 0.380
Rh 0.468 0.230 0.867
Rh 0.954 0.227 0.867
Rh 0.957 0.716 0.866
Rh 0.443 0.714 0.379
Bi 0.448 0.211 0.376
Bi 0.462 0.732 0.870



9.
Compound: BiHRh2
Source: Alexandria
Functional: PBE-GGA
Structure: relaxed

Calculated values
**E above lowest polymorph**: 239 meV per atom
**Crystal system**: trigonal
**Mass density**: 12.038 g/cm3

Unit cell a=3.230 b=3.230 c=6.618 alpha=75.88 beta=75.88 gamma=60.00
Fractional coordinates of all 4 atoms:
H 0.000 0.000 0.000
Rh 0.278 0.278 0.166
Rh 0.722 0.722 0.834
Bi 0.500 0.500 0.500



10.
Compound: Bi4HRh2
Source: Alexandria
Functional: PBE-GGA
Structure: relaxed

Calculated values
**Crystal system**: trigonal
**Mass density**: 11.354 g/cm3

Unit cell a=4.881 b=4.881 c=7.911 alpha=72.03 beta=72.03 gamma=60.00
Fractional coordinates of all 7 atoms:
Bi 0.378 0.378 0.865
Bi 0.210 0.210 0.370
Bi 0.790 0.790 0.630
Bi 0.622 0.622 0.135
H 0.000 0.000 0.000
Rh 0.080 0.080 0.761
Rh 0.920 0.920 0.239



11.
Compound: BiHRh3
Source: Alexandria
Functional: PBE-GGA
Structure: relaxed

Calculated values
**E above lowest polymorph**: 241 meV per atom
**Crystal system**: orthorhombic
**Mass density**: 11.567 g/cm3

Unit cell a=5.238 b=7.325 c=7.764 alpha=90.00 beta=90.00 gamma=90.00
Fractional coordinates of all 20 atoms:
H 0.494 0.250 0.513
H 0.006 0.750 0.013
H 0.506 0.750 0.487
H 0.994 0.250 0.987
Rh 0.056 0.929 0.838
Rh 0.444 0.429 0.338
Rh 0.444 0.071 0.338
Rh 0.944 0.429 0.162
Rh 0.944 0.071 0.162
Rh 0.556 0.571 0.662
Rh 0.556 0.929 0.662
Rh 0.056 0.571 0.838
Rh 0.286 0.250 0.691
Rh 0.214 0.750 0.191
Rh 0.714 0.750 0.309
Rh 0.786 0.250 0.809
Bi 0.000 0.000 0.500
Bi 0.500 0.500 0.000
Bi 0.500 0.000 0.000
Bi 0.000 0.500 0.500



12.
Compound: BiHRh3
Source: Alexandria
Functional: PBE-GGA
Structure: relaxed

Calculated values
**E above lowest polymorph**: 296 meV per atom
**Crystal system**: monoclinic
**Mass density**: 11.120 g/cm3

Unit cell a=3.583 b=7.670 c=6.691 alpha=90.00 beta=122.59 gamma=90.00
Fractional coordinates of all 10 atoms:
H 0.706 0.250 0.453
H 0.294 0.750 0.547
Rh 0.001 0.435 0.746
Rh 0.999 0.565 0.254
Rh 0.001 0.065 0.746
Rh 0.999 0.935 0.254
Rh 0.244 0.250 0.491
Rh 0.756 0.750 0.509
Bi 0.773 0.250 0.016
Bi 0.227 0.750 0.984



13.
Compound: BiHRh3
Source: Alexandria
Functional: PBE-GGA
Structure: relaxed

Calculated values
**E above lowest polymorph**: 891 meV per atom
**Crystal system**: tetragonal
**Mass density**: 8.089 g/cm3

Unit cell a=4.594 b=4.594 c=10.600 alpha=77.48 beta=77.48 gamma=90.00
Fractional coordinates of all 10 atoms:
H 0.644 0.144 0.711
H 0.856 0.356 0.289
Rh 0.632 0.878 0.243
Rh 0.122 0.368 0.757
Rh 0.122 0.876 0.757
Rh 0.124 0.878 0.243
Rh 0.345 0.345 0.310
Rh 0.655 0.655 0.690
Bi 0.000 0.000 0.000
Bi 0.250 0.750 0.500



14.
Compound: BiHRh3
Source: Alexandria
Functional: PBE-GGA
Structure: relaxed

Calculated values
**E above lowest polymorph**: 384 meV per atom
**Crystal system**: hexagonal
**Mass density**: 11.603 g/cm3

Unit cell a=3.216 b=3.216 c=16.579 alpha=90.00 beta=90.00 gamma=120.00
Fractional coordinates of all 10 atoms:
H 0.333 0.667 0.750
H 0.667 0.333 0.250
Rh 0.000 0.000 0.250
Rh 0.000 0.000 0.750
Rh 0.333 0.667 0.872
Rh 0.333 0.667 0.628
Rh 0.667 0.333 0.372
Rh 0.667 0.333 0.128
Bi 0.000 0.000 0.000
Bi 0.000 0.000 0.500



15.
Compound: Bi4HRh4
Source: Alexandria
Functional: PBE-GGA
Structure: relaxed

Calculated values
**Crystal system**: tetragonal
**Mass density**: 12.238 g/cm3

Unit cell a=5.890 b=7.584 c=7.584 alpha=90.00 beta=90.00 gamma=90.00
Fractional coordinates of all 18 atoms:
Bi 0.366 0.285 0.951
Bi 0.866 0.549 0.785
Bi 0.366 0.715 0.049
Bi 0.134 0.215 0.549
Bi 0.634 0.951 0.715
Bi 0.134 0.785 0.451
Bi 0.866 0.451 0.215
Bi 0.634 0.049 0.285
H 0.000 0.000 0.000
H 0.500 0.500 0.500
Rh 0.670 0.696 0.440
Rh 0.670 0.304 0.560
Rh 0.170 0.940 0.804
Rh 0.830 0.196 0.940
Rh 0.830 0.804 0.060
Rh 0.330 0.440 0.304
Rh 0.330 0.560 0.696
Rh 0.170 0.060 0.196



16.
Compound: BiHRh3
Source: Alexandria
Functional: PBE-GGA
Structure: relaxed

Calculated values
**E above lowest polymorph**: 443 meV per atom
**Crystal system**: orthorhombic
**Mass density**: 9.355 g/cm3

Unit cell a=7.296 b=7.296 c=4.983 alpha=90.00 beta=90.00 gamma=136.04
Fractional coordinates of all 10 atoms:
H 0.433 0.567 0.250
H 0.567 0.433 0.750
Rh 0.608 0.895 0.250
Rh 0.105 0.392 0.250
Rh 0.895 0.608 0.750
Rh 0.392 0.105 0.750
Rh 0.000 0.000 0.000
Rh 0.000 0.000 0.500
Bi 0.183 0.817 0.250
Bi 0.817 0.183 0.750



17.
Compound: BiHRuRh2
Source: Alexandria
Functional: PBE-GGA
Structure: relaxed

Calculated values
**Crystal system**: tetragonal
**Mass density**: 12.712 g/cm3

Unit cell a=4.039 b=4.039 c=4.139 alpha=90.00 beta=90.00 gamma=90.00
Fractional coordinates of all 5 atoms:
Ru 0.000 0.000 0.500
Rh 0.000 0.500 0.000
Rh 0.500 0.000 0.000
Bi 0.500 0.500 0.500
H 0.000 0.000 0.000



18.
Compound: SmBiH6Rh2
Source: Alexandria
Functional: PBE-GGA
Structure: relaxed

Calculated values
**Crystal system**: monoclinic
**Mass density**: 8.660 g/cm3

Unit cell a=6.268 b=6.268 c=5.879 alpha=99.50 beta=99.50 gamma=100.91
Fractional coordinates of all 20 atoms:
Sm 0.151 0.849 0.250
Sm 0.849 0.151 0.750
Bi 0.629 0.371 0.250
Bi 0.371 0.629 0.750
H 0.968 0.444 0.105
H 0.556 0.032 0.395
H 0.032 0.556 0.895
H 0.444 0.968 0.605
H 0.176 0.170 0.048
H 0.830 0.824 0.452
H 0.824 0.830 0.952
H 0.170 0.176 0.548
H 0.285 0.526 0.332
H 0.474 0.715 0.168
H 0.715 0.474 0.668
H 0.526 0.285 0.832
Rh 0.317 0.071 0.809
Rh 0.929 0.683 0.691
Rh 0.683 0.929 0.191
Rh 0.071 0.317 0.309



19.
Compound: SrBiH6Rh2
Source: Alexandria
Functional: PBE-GGA
Structure: relaxed

Calculated values
**Crystal system**: monoclinic
**Mass density**: 7.272 g/cm3

Unit cell a=6.427 b=6.427 c=5.915 alpha=100.74 beta=100.74 gamma=97.71
Fractional coordinates of all 20 atoms:
Sr 0.156 0.844 0.250
Sr 0.844 0.156 0.750
Bi 0.636 0.364 0.250
Bi 0.364 0.636 0.750
H 0.974 0.447 0.122
H 0.553 0.026 0.378
H 0.026 0.553 0.878
H 0.447 0.974 0.622
H 0.176 0.182 0.077
H 0.818 0.824 0.423
H 0.824 0.818 0.923
H 0.182 0.176 0.577
H 0.288 0.498 0.336
H 0.502 0.712 0.164
H 0.712 0.502 0.664
H 0.498 0.288 0.836
Rh 0.322 0.074 0.818
Rh 0.926 0.678 0.682
Rh 0.678 0.926 0.182
Rh 0.074 0.322 0.318



20.
Compound: Sr2BiHRh
Source: Alexandria
Functional: PBE-GGA
Structure: relaxed

Calculated values
**Crystal system**: tetragonal
**Mass density**: 6.740 g/cm3

Unit cell a=5.770 b=3.613 c=5.770 alpha=90.00 beta=90.00 gamma=90.00
Fractional coordinates of all 5 atoms:
Sr 0.000 0.000 0.500
Sr 0.500 0.000 0.000
Rh 0.000 0.500 0.000
Bi 0.500 0.500 0.500
H 0.000 0.000 0.000



Number 1: Fermi-level density of states 0.1 states/eV/f.u., magnetic moment 0.0 μB per formula unit, E_tot -5.0768 eV/atom. Number 2: Fermi-level density of states 5.5 states/eV/f.u., magnetic moment 0.0 μB per formula unit, E_tot -5.7903 eV/atom. Number 3: Fermi-level density of states 5.2 states/eV/f.u., magnetic moment 0.0 μB per formula unit, E_tot -5.6398 eV/atom. Number 4: Fermi-level density of states 2.6 states/eV/f.u., magnetic moment 0.0 μB per formula unit, E_tot -5.1791 eV/atom. Number 5: Fermi-level density of states 6.6 states/eV/f.u., magnetic moment 0.0 μB per formula unit, E_tot -5.5783 eV/atom. Number 6: Fermi-level density of states 3.0 states/eV/f.u., magnetic moment 0.0 μB per formula unit, E_tot -5.1839 eV/atom. Number 7: Fermi-level density of states 4.6 states/eV/f.u., magnetic moment 0.0 μB per formula unit, E_tot -4.9429 eV/atom. Number 8: Fermi-level density of states 3.7 states/eV/f.u., magnetic moment 0.0 μB per formula unit, E_tot -5.8776 eV/atom. Number 9: Fermi-level density of states 3.7 states/eV/f.u., magnetic moment 0.0 μB per formula unit, E_tot -5.2867 eV/atom. Number 10: Fermi-level density of states 2.6 states/eV/f.u., magnetic moment 0.0 μB per formula unit, E_tot -4.8607 eV/atom. Number 11: Fermi-level density of states 3.6 states/eV/f.u., magnetic moment 0.0 μB per formula unit, E_tot -5.7184 eV/atom. Number 12: Fermi-level density of states 4.8 states/eV/f.u., magnetic moment 0.0 μB per formula unit, E_tot -5.6635 eV/atom. Number 13: Fermi-level density of states 3.9 states/eV/f.u., magnetic moment 0.0 μB per formula unit, E_tot -5.0682 eV/atom. Number 14: Fermi-level density of states 6.9 states/eV/f.u., magnetic moment 0.0 μB per formula unit, E_tot -5.5754 eV/atom. Number 15: Fermi-level density of states 5.2 states/eV/f.u., magnetic moment 0.0 μB per formula unit, E_tot -5.4444 eV/atom. Number 16: Fermi-level density of states 3.8 states/eV/f.u., magnetic moment 0.0 μB per formula unit, E_tot -5.5161 eV/atom. Number 17: Fermi-level density of states 2.4 states/eV/f.u., magnetic moment 0.0 μB per formula unit, E_tot -6.2035 eV/atom. Number 18: Fermi-level density of states 2.5 states/eV/f.u., magnetic moment 0.0 μB per formula unit, E_tot -4.5703 eV/atom. Number 19: Fermi-level density of states 2.5 states/eV/f.u., magnetic moment 0.0 μB per formula unit, E_tot -4.1923 eV/atom. Number 20: Fermi-level density of states 2.7 states/eV/f.u., magnetic moment 0.0 μB per formula unit, E_tot -4.0657 eV/atom.